1.
VASP calculation (PBE-GGA) on an optimized crystal structure of Ba2MgCdBi.

Output
The calculation puts the energy of formation at -0.147 eV/atom.

Cell lengths 6.3956, 6.3956, 5.2966 Å; angles 90.00, 90.00, 90.00 degrees
Fractional positions:
Ba 0.0000 0.5000 0.0000
Ba 0.5000 0.0000 0.0000
Mg 0.0000 0.0000 0.5000
Cd 0.0000 0.0000 0.0000
Bi 0.5000 0.5000 0.5000


2.
VASP calculation (PBE-GGA) on an optimized crystal structure of BaMgCdBi3.

Output
The calculation puts the energy of formation at -0.275 eV/atom.

Cell lengths 9.8088, 9.8088, 7.1204 Å; angles 90.00, 90.00, 137.58 degrees
Fractional positions:
Ba 0.2008 0.7992 0.7500
Ba 0.7992 0.2008 0.2500
Mg 0.0954 0.9046 0.2500
Mg 0.9046 0.0954 0.7500
Cd 0.4018 0.5982 0.2500
Cd 0.5982 0.4018 0.7500
Bi 0.2458 0.2458 0.0000
Bi 0.2458 0.2458 0.5000
Bi 0.2474 0.7526 0.2500
Bi 0.7526 0.2474 0.7500
Bi 0.7542 0.7542 0.0000
Bi 0.7542 0.7542 0.5000


3.
VASP calculation (PBE-GGA) on an optimized crystal structure of BaMnCdBi2.

Output
The calculation puts the energy of formation at 0.574 eV/atom.

Cell lengths 5.6594, 5.6594, 6.3892 Å; angles 90.00, 90.00, 90.00 degrees
Fractional positions:
Ba 0.0000 0.0000 0.0000
Mn 0.5000 0.5000 0.0000
Cd 0.0000 0.0000 0.5000
Bi 0.0000 0.5000 0.5000
Bi 0.5000 0.0000 0.5000


4.
VASP calculation (PBE-GGA) on an optimized crystal structure of BaCd2BiMo.

Output
The calculation puts the energy of formation at 1.604 eV/atom.

Cell lengths 6.0229, 6.0229, 5.4467 Å; angles 90.00, 90.00, 90.00 degrees
Fractional positions:
Ba 0.0000 0.0000 0.0000
Cd 0.0000 0.5000 0.0000
Cd 0.5000 0.0000 0.0000
Bi 0.5000 0.5000 0.5000
Mo 0.0000 0.0000 0.5000


5.
VASP calculation (PBE-GGA) on an optimized crystal structure of Ba2CdBiN.

Output
For the uncorrected formation energy, the calculation gives -0.449 eV per atom.

Cell lengths 5.8246, 5.8246, 4.4984 Å; angles 90.00, 90.00, 90.00 degrees
Fractional positions:
Ba 0.0000 0.5000 0.0000
Ba 0.5000 0.0000 0.0000
Cd 0.0000 0.0000 0.5000
Bi 0.5000 0.5000 0.5000
N 0.0000 0.0000 0.0000


6.
VASP calculation (PBE-GGA) on an optimized crystal structure of BaNaCd2Bi2.

Output
The calculation puts the energy of formation at -0.431 eV/atom.

Cell lengths 5.2469, 5.2469, 8.0729 Å; angles 90.00, 90.00, 120.00 degrees
Fractional positions:
Ba 0.0000 0.0000 0.0000
Na 0.0000 0.0000 0.5000
Cd 0.3333 0.6667 0.6646
Cd 0.6667 0.3333 0.3354
Bi 0.3333 0.6667 0.2648
Bi 0.6667 0.3333 0.7352


7.
VASP calculation (PBE-GGA) on an optimized crystal structure of Ba2Na3CdBi4.

Output
The calculation puts the energy of formation at -0.513 eV/atom.

Cell lengths 5.1063, 5.1063, 13.0021 Å; angles 90.00, 90.00, 90.00 degrees
Fractional positions:
Ba 0.0000 0.5000 0.2438
Ba 0.5000 0.0000 0.7562
Na 0.0000 0.5000 0.8661
Na 0.5000 0.0000 0.1339
Na 0.5000 0.5000 0.5000
Cd 0.0000 0.0000 0.5000
Bi 0.0000 0.0000 0.0000
Bi 0.0000 0.5000 0.6382
Bi 0.5000 0.0000 0.3618
Bi 0.5000 0.5000 0.0000


8.
VASP calculation (PBE-GGA) on an optimized crystal structure of BaCd2NiBi.

Output
The calculation puts the energy of formation at -0.252 eV/atom.

Cell lengths 5.1282, 5.1282, 5.3012 Å; angles 90.00, 90.00, 90.00 degrees
Fractional positions:
Ba 0.0000 0.0000 0.0000
Cd 0.0000 0.5000 0.5000
Cd 0.5000 0.0000 0.5000
Ni 0.5000 0.5000 0.5000
Bi 0.5000 0.5000 0.0000


9.
VASP calculation (PBE-GGA) on an optimized crystal structure of Ba2CdBiO5.

Output
For the uncorrected formation energy, the calculation gives -1.713 eV per atom.

Cell lengths 7.6130, 7.6130, 11.3822 Å; angles 90.00, 90.00, 150.72 degrees
Fractional positions:
Ba 0.1109 0.8891 0.5000
Ba 0.1473 0.8527 0.1069
Ba 0.8527 0.1473 0.6069
Ba 0.8891 0.1109 0.0000
Cd 0.2251 0.7749 0.8329
Cd 0.7749 0.2251 0.3329
Bi 0.4631 0.5369 0.2762
Bi 0.5369 0.4631 0.7762
O 0.0573 0.9427 0.8621
O 0.2820 0.7180 0.4637
O 0.3213 0.6787 0.2002
O 0.3829 0.6171 0.8170
O 0.4941 0.5059 0.5987
O 0.5059 0.4941 0.0987
O 0.6171 0.3829 0.3170
O 0.6787 0.3213 0.7002
O 0.7180 0.2820 0.9637
O 0.9427 0.0573 0.3621


10.
VASP calculation (PBE-GGA) on an optimized crystal structure of Ba7CdBi2O2.

Output
For the uncorrected formation energy, the calculation gives -1.262 eV per atom.

Cell lengths 15.8858, 15.8858, 15.8858 Å; angles 160.47, 160.47, 27.76 degrees
Fractional positions:
Ba 0.0000 0.0000 0.0000
Ba 0.0974 0.5974 0.5000
Ba 0.2028 0.2028 0.0000
Ba 0.4026 0.9026 0.5000
Ba 0.5974 0.0974 0.5000
Ba 0.7972 0.7972 0.0000
Ba 0.9026 0.4026 0.5000
Cd 0.5000 0.5000 0.0000
Bi 0.3187 0.3187 0.0000
Bi 0.6813 0.6813 0.0000
O 0.0921 0.0921 0.0000
O 0.9080 0.9080 0.0000


11.
VASP calculation (PBE-GGA) on an optimized crystal structure of Ba2Cd2BiO6.

Output
For the uncorrected formation energy, the calculation gives -1.470 eV per atom.

Cell lengths 6.9613, 6.9613, 6.9613 Å; angles 55.83, 55.83, 55.83 degrees
Fractional positions:
Ba 0.2055 0.2055 0.2055
Ba 0.7945 0.7945 0.7945
Cd 0.4150 0.4150 0.4150
Cd 0.5850 0.5850 0.5850
Bi 0.0000 0.0000 0.0000
O 0.2073 0.7665 0.7665
O 0.2335 0.2335 0.7927
O 0.2335 0.7927 0.2335
O 0.7665 0.2073 0.7665
O 0.7665 0.7665 0.2073
O 0.7927 0.2335 0.2335


12.
VASP calculation (PBE-GGA) on an optimized crystal structure of Ba4CdBi3O12.

Output
For the uncorrected formation energy, the calculation gives -1.746 eV per atom.

Cell lengths 7.5642, 7.5642, 7.5642 Å; angles 109.47, 109.47, 109.47 degrees
Fractional positions:
Ba 0.0000 0.0000 0.5000
Ba 0.0000 0.5000 0.0000
Ba 0.5000 0.0000 0.0000
Ba 0.5000 0.5000 0.5000
Cd 0.0000 0.0000 0.0000
Bi 0.0000 0.5000 0.5000
Bi 0.5000 0.0000 0.5000
Bi 0.5000 0.5000 0.0000
O 0.0000 0.2585 0.2585
O 0.0000 0.7415 0.7415
O 0.2500 0.5000 0.7500
O 0.2500 0.7500 0.5000
O 0.2585 0.0000 0.2585
O 0.2585 0.2585 0.0000
O 0.5000 0.2500 0.7500
O 0.5000 0.7500 0.2500
O 0.7415 0.0000 0.7415
O 0.7415 0.7415 0.0000
O 0.7500 0.2500 0.5000
O 0.7500 0.5000 0.2500


no.,final energy (Ry/atom)
1,-0.1612
2,-0.2172
3,-0.2484
4,-0.1535
5,-0.2824
6,-0.1889
7,-0.2159
8,-0.2157
9,-0.3989
10,-0.2891
11,-0.3707
12,-0.4214